## P
# PBE-GGA ZrTi4Al, optimized geometry
# Size of the total moment = 0.000 μB per atom
data_ZrTi4Al
_chemical_formula_sum 'Zr2 Ti8 Al2'
_space_group_name_H-M_alt 'C 1 2/m 1'
_space_group_IT_number 12
_cell_length_a 5.124
_cell_length_b 8.711
_cell_length_c 5.139
_cell_angle_alpha 90.00
_cell_angle_beta 110.12
_cell_angle_gamma 90.00
loop_
_space_group_symop_operation_xyz
'x,y,z'
'-x,-y,-z'
'-x,y,-z'
'x,-y,z'
'x+1/2,y+1/2,z'
'-x+1/2,-y+1/2,-z'
'-x+1/2,y+1/2,-z'
'x+1/2,-y+1/2,z'
loop_
_atom_site_label
_atom_site_fract_x
_atom_site_fract_y
_atom_site_fract_z
Zr1 0.000 0.000 0.000
Ti1 0.000 0.172 0.500
Ti2 0.000 0.341 0.000
Al1 0.000 0.500 0.500

---

## Q
# PBE-GGA ZrTi4Al, optimized geometry
# Size of the total moment = 0.482 μB per atom
data_ZrTi4Al
_chemical_formula_sum 'Zr4 Ti16 Al4'
_space_group_name_H-M_alt 'F -4 3 m'
_space_group_IT_number 216
_space_group_name_Hall 'F -4 2 3'
_cell_length_a 7.622
_cell_length_b 7.622
_cell_length_c 7.622
_cell_angle_alpha 90.00
_cell_angle_beta 90.00
_cell_angle_gamma 90.00
loop_
_atom_site_label
_atom_site_fract_x
_atom_site_fract_y
_atom_site_fract_z
Zr1 0.000 0.000 0.000
Ti1 0.127 0.127 0.627
Al1 0.250 0.250 0.250

---

Relative calculated energies, zero for the most stable structure, unit meV/atom: P 0; Q 161.

---

## P
# PBE-GGA Zr3TiAl, optimized geometry
# Size of the total moment = 0.560 μB per atom
data_Zr3TiAl
_chemical_formula_sum 'Zr3 Ti1 Al1'
_space_group_name_H-M_alt 'P m -3 m'
_space_group_IT_number 221
_space_group_name_Hall '-P 4 2 3'
_cell_length_a 5.020
_cell_length_b 5.020
_cell_length_c 5.020
_cell_angle_alpha 90.00
_cell_angle_beta 90.00
_cell_angle_gamma 90.00
loop_
_atom_site_label
_atom_site_fract_x
_atom_site_fract_y
_atom_site_fract_z
Zr1 0.000 0.000 0.500
Ti1 0.500 0.500 0.500
Al1 0.000 0.000 0.000

---

## Q
# PBE-GGA Zr3TiAl, optimized geometry
# Size of the total moment = 0.000 μB per atom
data_Zr3TiAl
_chemical_formula_sum 'Zr3 Ti1 Al1'
_space_group_name_H-M_alt 'P m -3 m'
_space_group_IT_number 221
_space_group_name_Hall '-P 4 2 3'
_cell_length_a 4.908
_cell_length_b 4.908
_cell_length_c 4.908
_cell_angle_alpha 90.00
_cell_angle_beta 90.00
_cell_angle_gamma 90.00
loop_
_atom_site_label
_atom_site_fract_x
_atom_site_fract_y
_atom_site_fract_z
Zr1 0.000 0.000 0.500
Ti1 0.000 0.000 0.000
Al1 0.500 0.500 0.500

---

## R
# PBE-GGA Zr3TiAl, optimized geometry
# Size of the total moment = 0.000 μB per atom
data_Zr3TiAl
_chemical_formula_sum 'Zr6 Ti2 Al2'
_space_group_name_H-M_alt 'P 1 21/m 1'
_space_group_IT_number 11
_cell_length_a 3.124
_cell_length_b 9.709
_cell_length_c 7.145
_cell_angle_alpha 90.00
_cell_angle_beta 97.43
_cell_angle_gamma 90.00
loop_
_space_group_symop_operation_xyz
'x,y,z'
'-x,-y,-z'
'-x,y+1/2,-z'
'x,-y+1/2,z'
loop_
_atom_site_label
_atom_site_fract_x
_atom_site_fract_y
_atom_site_fract_z
Zr1 0.098 0.250 0.494
Zr2 0.218 0.505 0.784
Ti1 0.347 0.250 0.143
Al1 0.263 0.750 0.165

---

Relative calculated energies, zero for the most stable structure, unit meV/atom: P 750; Q 697; R 0.

---

## P
# PBE-GGA AlTl4, optimized geometry
# Size of the total moment = 0.000 μB per atom
data_AlTl4
_chemical_formula_sum 'Al2 Tl8'
_space_group_name_H-M_alt 'I 4/m m m'
_space_group_IT_number 139
_space_group_name_Hall '-I 4 2'
_cell_length_a 4.293
_cell_length_b 4.293
_cell_length_c 17.359
_cell_angle_alpha 90.00
_cell_angle_beta 90.00
_cell_angle_gamma 90.00
loop_
_atom_site_label
_atom_site_fract_x
_atom_site_fract_y
_atom_site_fract_z
Al1 0.000 0.000 0.000
Tl1 0.000 0.000 0.409
Tl2 0.000 0.500 0.250

---

## Q
# PBE-GGA AlTl4, optimized geometry
# Size of the total moment = 0.000 μB per atom
data_AlTl4
_chemical_formula_sum 'Al1 Tl4'
_space_group_name_H-M_alt 'P m -3 m'
_space_group_IT_number 221
_space_group_name_Hall '-P 4 2 3'
_cell_length_a 5.481
_cell_length_b 5.481
_cell_length_c 5.481
_cell_angle_alpha 90.00
_cell_angle_beta 90.00
_cell_angle_gamma 90.00
loop_
_atom_site_label
_atom_site_fract_x
_atom_site_fract_y
_atom_site_fract_z
Al1 0.000 0.000 0.000
Tl1 0.000 0.000 0.500
Tl2 0.500 0.500 0.500

---

Relative calculated energies, zero for the most stable structure, unit meV/atom: P 64; Q 0.

---

## P
# PBE-GGA Tm6AlTl, optimized geometry
# Size of the total moment = 0.000 μB per atom
data_Tm6AlTl
_chemical_formula_sum 'Tm12 Al2 Tl2'
_space_group_name_H-M_alt 'C 1 2/m 1'
_space_group_IT_number 12
_cell_length_a 6.436
_cell_length_b 11.202
_cell_length_c 6.234
_cell_angle_alpha 90.00
_cell_angle_beta 90.05
_cell_angle_gamma 90.00
loop_
_space_group_symop_operation_xyz
'x,y,z'
'-x,-y,-z'
'-x,y,-z'
'x,-y,z'
'x+1/2,y+1/2,z'
'-x+1/2,-y+1/2,-z'
'-x+1/2,y+1/2,-z'
'x+1/2,-y+1/2,z'
loop_
_atom_site_label
_atom_site_fract_x
_atom_site_fract_y
_atom_site_fract_z
Tm1 0.088 0.000 0.257
Tm2 0.202 0.295 0.257
Al1 0.000 0.500 0.500
Tl1 0.000 0.500 0.000

---

## Q
# PBE-GGA Tm6AlTl, optimized geometry
# Size of the total moment = 0.000 μB per atom
data_Tm6AlTl
_chemical_formula_sum 'Tm6 Al1 Tl1'
_space_group_name_H-M_alt 'P 4/m m m'
_space_group_IT_number 123
_space_group_name_Hall '-P 4 2'
_cell_length_a 4.736
_cell_length_b 4.736
_cell_length_c 9.492
_cell_angle_alpha 90.00
_cell_angle_beta 90.00
_cell_angle_gamma 90.00
loop_
_atom_site_label
_atom_site_fract_x
_atom_site_fract_y
_atom_site_fract_z
Tm1 0.000 0.000 0.000
Tm2 0.000 0.000 0.500
Tm3 0.000 0.500 0.241
Al1 0.500 0.500 0.000
Tl1 0.500 0.500 0.500

---

Relative calculated energies, zero for the most stable structure, unit meV/atom: P 180; Q 0.

---

## P
# PBE-GGA TmAlTl2, optimized geometry
# Size of the total moment = 0.000 μB per atom
data_TmAlTl2
_chemical_formula_sum 'Tm3 Al3 Tl6'
_space_group_name_H-M_alt 'R -3 m'
_space_group_IT_number 166
_space_group_name_Hall '-R 3 2"'
_cell_length_a 3.4273
_cell_length_b 3.4273
_cell_length_c 33.0934
_cell_angle_alpha 90.00
_cell_angle_beta 90.00
_cell_angle_gamma 120.00
loop_
_atom_site_label
_atom_site_fract_x
_atom_site_fract_y
_atom_site_fract_z
Tm1 0.0000 0.0000 0.0000
Al1 0.0000 0.0000 0.5000
Tl1 0.0000 0.0000 0.0932

---

## Q
# PBE-GGA TmAlTl2, optimized geometry
# Size of the total moment = 0.000 μB per atom
data_TmAlTl2
_chemical_formula_sum 'Tm1 Al1 Tl2'
_space_group_name_H-M_alt 'P 4/m m m'
_space_group_IT_number 123
_space_group_name_Hall '-P 4 2'
_cell_length_a 4.604
_cell_length_b 4.604
_cell_length_c 4.566
_cell_angle_alpha 90.00
_cell_angle_beta 90.00
_cell_angle_gamma 90.00
loop_
_atom_site_label
_atom_site_fract_x
_atom_site_fract_y
_atom_site_fract_z
Tm1 0.000 0.000 0.000
Al1 0.500 0.500 0.000
Tl1 0.000 0.500 0.500

---

Relative calculated energies, zero for the most stable structure, unit meV/atom: P 386; Q 0.

---

## P
# PBE-GGA TmAlTl, optimized geometry
# Size of the total moment = 0.000 μB per atom
data_TmAlTl
_chemical_formula_sum 'Tm1 Al1 Tl1'
_space_group_name_H-M_alt 'P 3 m 1'
_space_group_IT_number 156
_cell_length_a 4.7827
_cell_length_b 4.7827
_cell_length_c 3.4741
_cell_angle_alpha 90.00
_cell_angle_beta 90.00
_cell_angle_gamma 120.00
loop_
_space_group_symop_operation_xyz
'x,y,z'
'-y,x-y,z'
'-x+y,-x,z'
'-y,-x,z'
'-x+y,y,z'
'x,x-y,z'
loop_
_atom_site_label
_atom_site_fract_x
_atom_site_fract_y
_atom_site_fract_z
Tm1 0.0000 0.0000 0.0000
Al1 0.3333 0.6667 0.5009
Tl1 0.6667 0.3333 0.4991

---

## Q
# PBE-GGA TmAlTl, optimized geometry
# Size of the total moment = 0.000 μB per atom
data_TmAlTl
_chemical_formula_sum 'Tm8 Al8 Tl8'
_space_group_name_H-M_alt 'F m m m'
_space_group_IT_number 69
_space_group_name_Hall '-F 2 2'
_cell_length_a 6.107
_cell_length_b 6.207
_cell_length_c 16.172
_cell_angle_alpha 90.00
_cell_angle_beta 90.00
_cell_angle_gamma 90.00
loop_
_atom_site_label
_atom_site_fract_x
_atom_site_fract_y
_atom_site_fract_z
Tm1 0.000 0.000 0.171
Al1 0.229 0.000 0.000
Tl1 0.000 0.000 0.361

---

Relative calculated energies, zero for the most stable structure, unit meV/atom: P 0; Q 205.

---

## P
# PBE-GGA Tm8Al2Tl, optimized geometry
# Size of the total moment = 0.000 μB per atom
data_Tm8Al2Tl
_chemical_formula_sum 'Tm16 Al4 Tl2'
_space_group_name_H-M_alt 'I m m m'
_space_group_IT_number 71
_space_group_name_Hall '-I 2 2'
_cell_length_a 4.935
_cell_length_b 8.287
_cell_length_c 14.475
_cell_angle_alpha 90.00
_cell_angle_beta 90.00
_cell_angle_gamma 90.00
loop_
_atom_site_label
_atom_site_fract_x
_atom_site_fract_y
_atom_site_fract_z
Tm1 0.000 0.000 0.146
Tm2 0.000 0.212 0.339
Tm3 0.000 0.311 0.000
Al1 0.000 0.500 0.194
Tl1 0.000 0.500 0.500

---

## Q
# PBE-GGA Tm8Al2Tl, optimized geometry
# Size of the total moment = 0.000 μB per atom
data_Tm8Al2Tl
_chemical_formula_sum 'Tm16 Al4 Tl2'
_space_group_name_H-M_alt 'C 1 2/m 1'
_space_group_IT_number 12
_cell_length_a 8.694
_cell_length_b 13.991
_cell_length_c 5.436
_cell_angle_alpha 90.00
_cell_angle_beta 111.06
_cell_angle_gamma 90.00
loop_
_space_group_symop_operation_xyz
'x,y,z'
'-x,-y,-z'
'-x,y,-z'
'x,-y,z'
'x+1/2,y+1/2,z'
'-x+1/2,-y+1/2,-z'
'-x+1/2,y+1/2,-z'
'x+1/2,-y+1/2,z'
loop_
_atom_site_label
_atom_site_fract_x
_atom_site_fract_y
_atom_site_fract_z
Tm1 0.000 0.223 0.000
Tm2 0.105 0.500 0.800
Tm3 0.211 0.122 0.612
Al1 0.000 0.305 0.500
Tl1 0.000 0.000 0.000

---

Relative calculated energies, zero for the most stable structure, unit meV/atom: P 0; Q 57.

---

## P
# PBE-GGA AlTl3V, optimized geometry
# Size of the total moment = 0.756 μB per atom
data_AlTl3V
_chemical_formula_sum 'Al1 Tl3 V1'
_space_group_name_H-M_alt 'P m -3 m'
_space_group_IT_number 221
_space_group_name_Hall '-P 4 2 3'
_cell_length_a 5.338
_cell_length_b 5.338
_cell_length_c 5.338
_cell_angle_alpha 90.00
_cell_angle_beta 90.00
_cell_angle_gamma 90.00
loop_
_atom_site_label
_atom_site_fract_x
_atom_site_fract_y
_atom_site_fract_z
Al1 0.000 0.000 0.000
Tl1 0.000 0.000 0.500
V1 0.500 0.500 0.500

---

## Q
# PBE-GGA AlTl3V, optimized geometry
# Size of the total moment = 0.033 μB per atom
data_AlTl3V
_chemical_formula_sum 'Al1 Tl3 V1'
_space_group_name_H-M_alt 'P m -3 m'
_space_group_IT_number 221
_space_group_name_Hall '-P 4 2 3'
_cell_length_a 5.293
_cell_length_b 5.293
_cell_length_c 5.293
_cell_angle_alpha 90.00
_cell_angle_beta 90.00
_cell_angle_gamma 90.00
loop_
_atom_site_label
_atom_site_fract_x
_atom_site_fract_y
_atom_site_fract_z
Al1 0.000 0.000 0.000
Tl1 0.000 0.500 0.500
V1 0.500 0.500 0.500

---

Relative calculated energies, zero for the most stable structure, unit meV/atom: P 200; Q 0.